5
Lattice="4.617 0.000 0.000 0.000 4.617 0.000 0.000 0.000 4.866" Properties=species:S:1:pos:R:3 comment="ZnPdRu2W (GGA-PBE, relaxed)" magmom_total_mub_per_cell=1.3 formation_enthalpy_0k_mev_per_atom=1506 sg=P4/mmm relative_energy_mev_per_atom=0 total_energy_ev_per_atom=-6.088 pbc="T T T"
Zn 0.000 0.000 0.000
Pd 2.309 2.309 0.000
Ru 0.000 2.309 2.433
Ru 2.309 0.000 2.433
W 0.000 0.000 2.433

=====

9
Lattice="5.773 0.000 0.000 -2.887 5.000 0.000 0.000 0.000 4.675" Properties=species:S:1:pos:R:3 comment="DyHoPaO6 (GGA-PBE, relaxed)" raw_formation_energy_ev_per_atom=-3.23 magmom_total_mub_per_cell=0.4 sg=P312 total_energy_ev_per_atom=-8.612 pbc="T T T"
Dy 0.000 0.000 0.000
Ho 0.000 3.333 0.000
Pa 2.887 1.667 2.338
O 1.971 0.065 1.145
O 1.041 1.674 3.531
O 3.802 0.065 3.531
O 1.957 3.261 1.145
O 4.732 1.674 1.145
O 3.816 3.261 3.531

=====

12
Lattice="3.548 -6.144 0.000 3.548 6.144 0.000 -2.246 0.000 6.835" Properties=species:S:1:pos:R:3 comment="Li2ZrSn3Se6 (GGA-PBE, relaxed)" raw_formation_energy_ev_per_atom=-0.84 magmom_total_mub_per_cell=0.0 sg=C2/m total_energy_ev_per_atom=-4.613 pbc="T T T"
Li 3.548 3.952 0.000
Li 3.548 -3.952 0.000
Zr 3.548 0.000 0.000
Sn -1.123 0.000 3.418
Sn 2.425 2.013 3.418
Sn 2.425 -2.013 3.418
Se 0.124 1.930 5.323
Se 1.333 0.000 1.633
Se 0.124 -1.930 5.323
Se 4.727 1.930 1.512
Se 3.518 0.000 5.202
Se 4.727 -1.930 1.512

=====

10
Lattice="7.305 0.000 0.000 0.000 7.305 0.000 0.000 0.000 2.714" Properties=species:S:1:pos:R:3 comment="CaTa2B2 (GGA-PBE, relaxed)" magmom_total_mub_per_cell=0.0 formation_enthalpy_0k_mev_per_atom=449 sg=P4/mbm relative_energy_mev_per_atom=404 total_energy_ev_per_atom=-7.364 pbc="T T T"
Ca 0.000 0.000 0.000
Ca 3.652 3.652 0.000
Ta 0.940 2.713 0.000
Ta 2.713 6.365 0.000
Ta 4.592 0.940 0.000
Ta 6.365 4.592 0.000
B 1.197 4.850 1.357
B 2.455 1.197 1.357
B 4.850 6.107 1.357
B 6.107 2.455 1.357

=====

18
Lattice="5.413 0.000 0.000 -2.706 4.687 0.000 0.000 0.000 9.474" Properties=species:S:1:pos:R:3 comment="PaInPdO6 (GGA-PBE, relaxed)" raw_formation_energy_ev_per_atom=-1.86 magmom_total_mub_per_cell=0.0 sg=P-31c total_energy_ev_per_atom=-7.097 pbc="T T T"
Pa 0.000 3.125 2.368
Pa 2.706 1.562 7.105
In 0.000 0.000 0.000
In 0.000 0.000 4.737
Pd 0.000 3.125 7.105
Pd 2.706 1.562 2.368
O -0.849 1.642 5.967
O -1.709 3.132 8.244
O 0.849 1.642 8.244
O -0.860 4.602 5.967
O 1.846 0.086 1.230
O 0.997 1.556 3.507
O 1.709 3.132 5.967
O 0.860 4.602 8.244
O 3.567 0.086 3.507
O 1.858 3.046 1.230
O 4.415 1.556 1.230
O 3.555 3.046 3.507

=====

8
Lattice="3.171 0.000 0.000 0.000 4.635 0.000 0.000 0.000 8.812" Properties=species:S:1:pos:R:3 comment="YCuOs2 (GGA-PBE, relaxed)" magmom_total_mub_per_cell=0.0 formation_enthalpy_0k_mev_per_atom=585 sg=Cmmm relative_energy_mev_per_atom=409 total_energy_ev_per_atom=-7.670 pbc="T T T"
Y 0.000 0.000 0.000
Y 1.585 2.317 0.000
Cu 0.000 0.000 4.406
Cu 1.585 2.317 4.406
Os 0.000 2.317 2.373
Os 0.000 2.317 6.438
Os 1.585 0.000 2.373
Os 1.585 0.000 6.438